Below is Os2RuC after structural relaxation, with properties calculated at the GGA-PBE level. Values from VASP.

Properties
* energy of formation: 0.469 eV/atom
* DOS at the Fermi energy: 7.29 states/eV per cell
* VASP energy: -78.16 eV/cell
* SG: Cm (8)

```
&SYSTEM
  ibrav = 0, nat = 8, ntyp = 3
/
ATOMIC_SPECIES
Os 190.23 Os.upf
Ru 101.07 Ru.upf
C 12.01 C.upf
CELL_PARAMETERS angstrom
4.7755 0.0000 0.0000
0.0000 2.7574 0.0000
-1.6193 0.0000 7.7188
ATOMIC_POSITIONS angstrom
Os 0.0000 0.0000 0.0000
Os -0.0211 0.0000 5.5695
Os 2.3878 1.3787 0.0000
Os 2.3666 1.3787 5.5695
Ru 1.5908 0.0000 2.2573
Ru 3.9786 1.3787 2.2573
C -0.0042 0.0000 3.5805
C 2.3836 1.3787 3.5805
```